# 1
Here is a PBEsol-optimized structure of MnIrPd3 from the Alexandria database. Energies are from SCAN.

a = 4.4175 Å, b = 4.4175 Å, c = 4.4175 Å
α = 90.00°, β = 90.00°, γ = 90.00°
Last column: magnetic moment on the atom in μB.
Sites, in units of the cell vectors:
Mn  0.0000  0.0000  0.0000  3.59
Ir  0.5000  0.5000  0.5000  0.00
Pd  0.0000  0.5000  0.0000  0.19
Pd  0.0000  0.0000  0.5000  0.19
Pd  0.5000  0.0000  0.0000  0.19

Properties
Its formation energy is 1.25 eV/atom. As for the symmetry: No. 221.

=====

# 2
Here is a PBEsol-optimized structure of HgPtAu2 from the Alexandria database. Energies are from SCAN.

a = 2.9898 Å, b = 2.9898 Å, c = 7.7128 Å
α = 90.00°, β = 90.00°, γ = 90.00°
Sites, in units of the cell vectors:
Au  0.0000  0.0000  0.7359
Au  0.0000  0.0000  0.2641
Hg  0.5000  0.5000  0.0000
Pt  0.5000  0.5000  0.5000

Properties
Its formation energy is 0.13 eV/atom. As for the symmetry: No. 123.